Version a
An optimized crystal structure of AlAsPBr2, computed with PBE.

## Properties
crystal system = tetragonal

a b c (Å): 4.859 4.859 5.459
angles (deg): 90.00 90.00 90.00
Each line ends with the local moment (μB).
Element x y z (fractional)
Br 0.500 0.000 0.000  0.02
As 0.000 0.000 0.500  -0.40
Br 0.000 0.500 0.000  0.02
P 0.500 0.500 0.500  0.79
Al 0.000 0.000 0.000  0.01

***

Version b
An optimized crystal structure of AlAsPBr2, computed with PBE.

## Properties
crystal system = tetragonal

a b c (Å): 5.493 4.792 5.493
angles (deg): 90.00 90.00 90.00
Each line ends with the local moment (μB).
Element x y z (fractional)
Al 0.500 0.500 0.500  0.00
Br 0.000 0.000 0.500  0.05
Br 0.500 0.000 0.000  0.04
P 0.000 0.500 0.000  0.26
As 0.000 0.000 0.000  -0.04

***

Q: Which of them is the least stable? A: version a.

***

Version a
An optimized crystal structure of AlAs2PdBr, computed with PBE.

## Properties
crystal system = tetragonal

a b c (Å): 4.836 4.836 5.567
angles (deg): 90.00 90.00 90.00
Each line ends with the local moment (μB).
Element x y z (fractional)
Al 0.500 0.500 0.500  0.01
As 0.500 0.000 0.000  0.20
Pd 0.000 0.000 0.000  0.11
Br 0.000 0.000 0.500  0.06
As 0.000 0.500 0.000  0.20

***

Version b
An optimized crystal structure of AlAs2PdBr, computed with PBE.

## Properties
crystal system = tetragonal

a b c (Å): 4.857 4.857 4.940
angles (deg): 90.00 90.00 90.00
Element x y z (fractional)
Br 0.000 0.000 0.500
As 0.000 0.500 0.000
Pd 0.500 0.500 0.500
Al 0.000 0.000 0.000
As 0.500 0.000 0.000

***

Q: Which of them is the least stable? A: version b.